(1)
## HoPaPO (PBE)

Data for a geometry-optimized HoPaPO structure.

Computed properties:
As for the space group: P4/nmm. The calculation puts the spin magnetization at 0.04 μB per cell. As for the crystal system: tetragonal. The relative energy among the computed polymorphs is 7.6 kJ per mole of atoms. The value obtained for the density is 9.3 g/cm³. The calculated volume is 157.51 Å³ per cell. For the energy, the calculation gives -0.5445 Ry per atom.

Cell lengths 4.1797, 4.1797, 9.0160 Å; angles 90.00, 90.00, 90.00 degrees
With the nearest neighbours (Å) after each atom.
Element x y z (fractional)
1 Ho 0.0000 0.5000 0.1039  4 O 2.29
2 P 0.5000 0.0000 0.2830  4 Pa 2.86
3 O 0.0000 0.0000 0.0000  4 Ho 2.29
4 P 0.0000 0.5000 0.7170  4 Pa 2.86
5 Ho 0.5000 0.0000 0.8961  4 O 2.29
6 Pa 0.5000 0.5000 0.5000  4 P 2.86, 4 Pa 2.96
7 Pa 0.0000 0.0000 0.5000  4 P 2.86, 4 Pa 2.96
8 O 0.5000 0.5000 0.0000  4 Ho 2.29

(2)
## Cs2NbHgI6 (PBE)

Data for a geometry-optimized Cs2NbHgI6 structure.

Computed properties:
As for the space group: Fm-3m. The calculation puts the spin magnetization at 1.00 μB per cell. As for the crystal system: cubic. The value obtained for the density is 4.4 g/cm³. The calculated volume is 493.69 Å³ per cell. For the energy, the calculation gives -0.2164 Ry per atom.

Cell lengths 8.8714, 8.8714, 8.8714 Å; angles 60.00, 60.00, 60.00 degrees
With the nearest neighbours (Å) after each atom.
Element x y z (fractional)
1 I 0.7750 0.2250 0.2250  1 Nb 2.82
2 Cs 0.2500 0.2500 0.2500  12 I 4.45
3 I 0.7750 0.7750 0.2250  1 Nb 2.82
4 I 0.7750 0.2250 0.7750  1 Nb 2.82
5 I 0.2250 0.7750 0.2250  1 Nb 2.82
6 Cs 0.7500 0.7500 0.7500  12 I 4.45
7 Hg 0.5000 0.5000 0.5000  6 I 3.45
8 I 0.2250 0.2250 0.7750  1 Nb 2.82
9 Nb 0.0000 0.0000 0.0000  6 I 2.82
10 I 0.2250 0.7750 0.7750  1 Nb 2.82

(3)
## DyHoHg (PBE)

Data for a geometry-optimized DyHoHg structure.

Computed properties:
As for the space group: F-43m. The calculation puts the spin magnetization at 0.01 μB per cell. As for the crystal system: cubic. The relative energy among the computed polymorphs is 23.9 kJ per mole of atoms. For the formation energy, the calculation gives -0.3 eV/f.u. The value obtained for the density is 9.5 g/cm³. The calculated volume is 92.47 Å³ per cell. For the energy, the calculation gives -0.2407 Ry per atom.

Cell lengths 5.0758, 5.0758, 5.0758 Å; angles 60.00, 60.00, 60.00 degrees
With the nearest neighbours (Å) after each atom.
Element x y z (fractional)
1 Ho 0.7500 0.7500 0.7500  4 Hg 3.11
2 Hg 0.0000 0.0000 0.0000  4 Ho 3.11, 4 Dy 3.11
3 Dy 0.2500 0.2500 0.2500  4 Hg 3.11

(4)
## LuInCoCu (PBE)

Data for a geometry-optimized LuInCoCu structure.

Computed properties:
As for the space group: F-43m. The calculation puts the spin magnetization at 0.58 μB per cell. As for the crystal system: cubic. The relative energy among the computed polymorphs is 0.0 kJ per mole of atoms. The value obtained for the density is 10.1 g/cm³. The calculated volume is 67.57 Å³ per cell. For the energy, the calculation gives -0.3460 Ry per atom.

Cell lengths 4.5719, 4.5719, 4.5719 Å; angles 60.00, 60.00, 60.00 degrees
With the nearest neighbours (Å) after each atom.
Element x y z (fractional)
1 Co 0.7500 0.7500 0.7500  4 Lu 2.80, 4 In 2.80
2 In 0.0000 0.0000 0.0000  4 Cu 2.80, 4 Co 2.80
3 Lu 0.5000 0.5000 0.5000  4 Co 2.80, 4 Cu 2.80
4 Cu 0.2500 0.2500 0.2500  4 In 2.80, 4 Lu 2.80

(5)
## Nd2ZnHgAs2O2 (PBE)

Data for a geometry-optimized Nd2ZnHgAs2O2 structure.

Computed properties:
As for the space group: P-4m2. The calculation puts the spin magnetization at 0.00 μB per cell. As for the crystal system: tetragonal. The value obtained for the density is 7.9 g/cm³. The calculated volume is 154.58 Å³ per cell. For the energy, the calculation gives -0.3995 Ry per atom.

Cell lengths 4.1223, 4.1223, 9.0968 Å; angles 90.00, 90.00, 90.00 degrees
With the nearest neighbours (Å) after each atom.
Element x y z (fractional)
1 As 0.0000 0.5000 0.1936  2 Zn 2.71, 2 Hg 2.71
2 O 0.0000 0.0000 0.5000  4 Nd 2.36
3 O 0.5000 0.5000 0.5000  4 Nd 2.36
4 Hg 0.0000 0.0000 0.0000  4 As 2.71, 4 Zn 2.91
5 Nd 0.0000 0.5000 0.6263  4 O 2.36
6 As 0.5000 0.0000 0.8065  2 Hg 2.71, 2 Zn 2.71
7 Zn 0.5000 0.5000 0.0000  4 As 2.71, 4 Hg 2.91
8 Nd 0.5000 0.0000 0.3737  4 O 2.36

(6)
## Hf2GeIr (PBE)

Data for a geometry-optimized Hf2GeIr structure.

Computed properties:
As for the space group: F-43m. The calculation puts the spin magnetization at 1.58 μB per cell. As for the crystal system: cubic. The value obtained for the density is 14.5 g/cm³. The calculated volume is 71.39 Å³ per cell. For the energy, the calculation gives -0.6234 Ry per atom.

Cell lengths 4.6565, 4.6565, 4.6565 Å; angles 60.00, 60.00, 60.00 degrees
With the nearest neighbours (Å) after each atom.
Element x y z (fractional)
1 Ge 0.5000 0.5000 0.5000  4 Ir 2.85, 4 Hf 2.85
2 Hf 0.7500 0.7500 0.7500  4 Hf 2.85, 4 Ge 2.85
3 Ir 0.2500 0.2500 0.2500  4 Ge 2.85, 4 Hf 2.85
4 Hf 0.0000 0.0000 0.0000  4 Hf 2.85, 4 Ir 2.85

(7)
## AsPt15 (PBE)

Data for a geometry-optimized AsPt15 structure.

Computed properties:
As for the space group: P2/c. The calculation puts the spin magnetization at 0.08 μB per cell. As for the crystal system: monoclinic. The relative energy among the computed polymorphs is 3.9 kJ per mole of atoms. The value obtained for the density is 15.0 g/cm³. The calculated volume is 663.22 Å³ per cell. For the energy, the calculation gives -0.4347 Ry per atom.

Cell lengths 4.7987, 4.7988, 30.5396 Å; angles 90.00, 90.00, 109.43 degrees
With the nearest neighbours (Å) after each atom.
Element x y z (fractional)
1 As 0.9998 0.9998 0.1570  7 Pt 2.64-2.78
2 Pt 0.0000 0.5000 0.4768  12 Pt 2.77-2.84
3 Pt 0.0000 0.5000 0.7566  12 Pt 2.77-2.86
4 Pt 0.5000 0.0000 0.5696  12 Pt 2.77-2.85
5 Pt 0.5004 0.5004 0.1519  5 Pt 2.71-2.79, 2 As 2.77-2.78
6 Pt 0.0000 0.0000 0.6162  12 Pt 2.77-2.86
7 Pt 0.5000 0.5000 0.8071  2 As 2.64, 8 Pt 2.71-2.85
8 Pt 0.0000 0.4999 0.8481  5 Pt 2.71-2.79, 2 As 2.78
9 Pt 0.0000 0.5000 0.3838  12 Pt 2.77-2.86
10 Pt 0.5000 0.0000 0.7566  1 As 2.64, 11 Pt 2.77-2.86
11 Pt 0.0000 0.0000 0.8071  2 As 2.64, 8 Pt 2.71-2.85
12 Pt 0.0000 0.5000 0.5699  12 Pt 2.77-2.84
13 Pt 0.0002 0.4999 0.1929  2 As 2.64, 8 Pt 2.71-2.85
14 Pt 0.0000 0.5000 0.6630  12 Pt 2.77-2.86
15 Pt 0.5000 0.5000 0.7097  12 Pt 2.77-2.97
16 Pt 0.5000 0.0000 0.6630  12 Pt 2.77-2.86
17 Pt 0.5000 0.5000 0.2434  12 Pt 2.77-2.86
18 Pt 0.5000 0.5000 0.4302  12 Pt 2.77-2.84
19 Pt 0.5000 0.0000 0.3839  12 Pt 2.77-2.86
20 Pt 0.0000 0.5000 0.2903  12 Pt 2.77-2.98
21 Pt 0.0000 0.0000 0.7096  12 Pt 2.77-2.98
22 Pt 0.4999 0.0002 0.1929  2 As 2.64, 8 Pt 2.71-2.85
23 Pt 0.5000 0.5000 0.5232  12 Pt 2.77-2.84
24 Pt 0.0000 0.0000 0.2434  1 As 2.64, 11 Pt 2.77-2.86
25 Pt 0.5000 0.0000 0.4767  12 Pt 2.77-2.84
26 Pt 0.5000 0.5000 0.6162  12 Pt 2.77-2.86
27 Pt 0.0000 0.0000 0.4304  12 Pt 2.77-2.85
28 Pt 0.5000 0.5000 0.3371  12 Pt 2.77-2.86
29 Pt 0.5000 0.0000 0.2904  12 Pt 2.77-2.98
30 Pt 0.0000 0.0000 0.5233  12 Pt 2.77-2.84
31 As 0.5000 0.0000 0.8430  7 Pt 2.64-2.78
32 Pt 0.0000 0.0000 0.3371  12 Pt 2.77-2.86

(8)
## BeBiPdAu (PBE)

Data for a geometry-optimized BeBiPdAu structure.

Computed properties:
As for the space group: F-43m. As for the crystal system: cubic. The relative energy among the computed polymorphs is 0.0 kJ per mole of atoms. The value obtained for the density is 11.8 g/cm³. The calculated volume is 73.08 Å³ per cell. For the energy, the calculation gives -0.2833 Ry per atom.

Cell lengths 4.6928, 4.6928, 4.6928 Å; angles 60.00, 60.00, 60.00 degrees
With the nearest neighbours (Å) after each atom.
Element x y z (fractional)
1 Au 0.0000 0.0000 0.0000  4 Bi 2.87, 4 Be 2.87
2 Pd 0.5000 0.5000 0.5000  4 Be 2.87, 4 Bi 2.87
3 Bi 0.2500 0.2500 0.2500  4 Au 2.87, 4 Pd 2.87
4 Be 0.7500 0.7500 0.7500  4 Pd 2.87, 4 Au 2.87

(9)
## DyLuPa (PBE)

Data for a geometry-optimized DyLuPa structure.

Computed properties:
As for the space group: F-43m. The calculation puts the spin magnetization at 2.79 μB per cell. As for the crystal system: cubic. The relative energy among the computed polymorphs is 0.0 kJ per mole of atoms. For the formation energy, the calculation gives 3.2 eV/f.u. The value obtained for the density is 9.3 g/cm³. The calculated volume is 101.30 Å³ per cell. For the energy, the calculation gives -0.3779 Ry per atom.

Cell lengths 5.2325, 5.2325, 5.2325 Å; angles 60.00, 60.00, 60.00 degrees
With the nearest neighbours (Å) after each atom.
Element x y z (fractional)
1 Dy 0.2500 0.2500 0.2500  4 Lu 3.20
2 Pa 0.7500 0.7500 0.7500  4 Lu 3.20
3 Lu 0.0000 0.0000 0.0000  4 Pa 3.20, 4 Dy 3.20

Repeat the sixth record exactly.
## Hf2GeIr (PBE)

Data for a geometry-optimized Hf2GeIr structure.

Computed properties:
As for the space group: F-43m. The calculation puts the spin magnetization at 1.58 μB per cell. As for the crystal system: cubic. The value obtained for the density is 14.5 g/cm³. The calculated volume is 71.39 Å³ per cell. For the energy, the calculation gives -0.6234 Ry per atom.

Cell lengths 4.6565, 4.6565, 4.6565 Å; angles 60.00, 60.00, 60.00 degrees
With the nearest neighbours (Å) after each atom.
Element x y z (fractional)
1 Ge 0.5000 0.5000 0.5000  4 Ir 2.85, 4 Hf 2.85
2 Hf 0.7500 0.7500 0.7500  4 Hf 2.85, 4 Ge 2.85
3 Ir 0.2500 0.2500 0.2500  4 Ge 2.85, 4 Hf 2.85
4 Hf 0.0000 0.0000 0.0000  4 Hf 2.85, 4 Ir 2.85